No. 1
Below is a relaxed MnRuPt2Se crystal, with properties calculated at the PBE-GGA level. Values from VASP.

## Properties
- SG: P4/mmm, No. 123
- Density of states at the Fermi level: 1.999 states/eV per atom
- E_form (uncorrected): 1.22 eV per atom
- Mass density: 11.34 g/cm³

Geometry as Quantum ESPRESSO input:
```
&SYSTEM
  ibrav = 0, nat = 5, ntyp = 4
/
ATOMIC_SPECIES
Ru 101.07 Ru.upf
Mn 54.94 Mn.upf
Se 78.96 Se.upf
Pt 195.08 Pt.upf
CELL_PARAMETERS angstrom
4.6341 0.0000 0.0000
0.0000 4.2622 0.0000
0.0000 0.0000 4.6341
ATOMIC_POSITIONS crystal
Ru 0.5000 0.5000 0.5000
Mn 0.0000 0.5000 0.0000
Se 0.0000 0.0000 0.0000
Pt 0.0000 0.0000 0.5000
Pt 0.5000 0.0000 0.0000
```

***

No. 2
Below is a relaxed Mg2SbOs crystal, with properties calculated at the PBE-GGA level. Values from VASP.

## Properties
- SG: R-3m, No. 166
- Density of states at the Fermi level: 0.621 states/eV per atom
- E_form (uncorrected): 0.27 eV per atom
- Mass density: 7.71 g/cm³

Geometry as Quantum ESPRESSO input:
```
&SYSTEM
  ibrav = 0, nat = 4, ntyp = 3
/
ATOMIC_SPECIES
Mg 24.30 Mg.upf
Os 190.23 Os.upf
Sb 121.76 Sb.upf
CELL_PARAMETERS angstrom
-3.0621 -1.0407 8.5530
-1.4537 -3.7440 8.2148
0.0573 -1.1017 9.0772
ATOMIC_POSITIONS crystal
Mg 0.9916 0.9916 0.9916
Mg 0.5084 0.5084 0.5084
Os 0.2500 0.2500 0.2500
Sb 0.7500 0.7500 0.7500
```

***

No. 3
Below is a relaxed BaCd2SeO2 crystal, with properties calculated at the PBE-GGA level. Values from VASP.

## Properties
- SG: P2_1/m, No. 11
- E_form (uncorrected): -1.29 eV per atom
- Mass density: 3.63 g/cm³

Geometry as Quantum ESPRESSO input:
```
&SYSTEM
  ibrav = 0, nat = 12, ntyp = 4
/
ATOMIC_SPECIES
Ba 137.33 Ba.upf
Cd 112.41 Cd.upf
Se 78.96 Se.upf
O 16.00 O.upf
CELL_PARAMETERS angstrom
6.4174 0.0000 0.0000
0.0000 8.3279 -1.1055
0.0000 -4.1701 8.6628
ATOMIC_POSITIONS crystal
Ba 0.2500 0.1840 0.0892
Ba 0.7500 0.8160 0.9108
Cd 0.2500 0.8852 0.2427
Cd 0.2500 0.8850 0.6477
Cd 0.7500 0.1148 0.7573
Cd 0.7500 0.1150 0.3523
Se 0.7500 0.3449 0.6653
Se 0.2500 0.6551 0.3347
O 0.5001 0.9992 0.1703
O 0.9999 0.9992 0.1703
O 0.0001 0.0008 0.8297
O 0.4999 0.0008 0.8297
```

***

No. 4
Below is a relaxed Nd2ScHg4 crystal, with properties calculated at the PBE-GGA level. Values from VASP.

## Properties
- Total DFT energy (no corrections): -17.62 eV/f.u.
- SG: I4/mmm, No. 139
- Density of states at the Fermi level: 0.994 states/eV per atom
- Mass density: 8.30 g/cm³

Geometry as Quantum ESPRESSO input:
```
&SYSTEM
  ibrav = 0, nat = 7, ntyp = 3
/
ATOMIC_SPECIES
Nd 144.24 Nd.upf
Sc 44.96 Sc.upf
Hg 200.59 Hg.upf
CELL_PARAMETERS angstrom
5.4072 0.0000 0.0000
0.0000 5.4072 0.0000
-2.7036 -2.7036 7.7737
ATOMIC_POSITIONS crystal
Nd 0.6134 0.6134 0.2269
Nd 0.3866 0.3866 0.7731
Sc 0.0000 0.0000 0.0000
Hg 0.8152 0.8152 0.6304
Hg 0.1848 0.1848 0.3696
Hg 0.0000 0.5000 0.0000
Hg 0.5000 0.0000 0.0000
```

***

No. 5
Below is a relaxed AlCu2Au crystal, with properties calculated at the PBE-GGA level. Values from VASP.

## Properties
- Total DFT energy (no corrections): -16.14 eV/f.u.
- SG: C2, No. 5
- Density of states at the Fermi level: 0.270 states/eV per atom
- Mass density: 10.34 g/cm³

Geometry as Quantum ESPRESSO input:
```
&SYSTEM
  ibrav = 0, nat = 4, ntyp = 3
/
ATOMIC_SPECIES
Au 196.97 Au.upf
Al 26.98 Al.upf
Cu 63.55 Cu.upf
CELL_PARAMETERS angstrom
4.7387 0.0004 -0.0510
1.6770 4.4318 0.0552
-3.1810 -2.2526 2.6816
ATOMIC_POSITIONS crystal
Au 0.2501 0.7498 0.5000
Al 0.5005 0.4992 0.0000
Cu 0.9996 0.0009 0.0000
Cu 0.7498 0.2502 0.5000
```

***

No. 6
Below is a relaxed Nd5HoAg4 crystal, with properties calculated at the PBE-GGA level. Values from VASP.

## Properties
- Total DFT energy (no corrections): -41.76 eV/f.u.
- SG: P4/mmm, No. 123
- Density of states at the Fermi level: 1.040 states/eV per atom
- Mass density: 7.84 g/cm³

Geometry as Quantum ESPRESSO input:
```
&SYSTEM
  ibrav = 0, nat = 10, ntyp = 3
/
ATOMIC_SPECIES
Nd 144.24 Nd.upf
Ho 164.93 Ho.upf
Ag 107.87 Ag.upf
CELL_PARAMETERS angstrom
-0.3646 -3.6245 0.7446
3.6926 -0.3085 0.3063
-1.2862 4.1793 19.7137
ATOMIC_POSITIONS crystal
Nd 0.5000 0.5000 0.1216
Nd 0.5000 0.5000 0.3101
Nd 0.5000 0.5000 0.5000
Nd 0.5000 0.5000 0.6899
Nd 0.5000 0.5000 0.8784
Ho 0.0000 0.0000 0.0000
Ag 0.0000 0.0000 0.2146
Ag 0.0000 0.0000 0.4054
Ag 0.0000 0.0000 0.5946
Ag 0.0000 0.0000 0.7854
```

***

No. 7
Below is a relaxed Tl3Cd7Hg4 crystal, with properties calculated at the PBE-GGA level. Values from VASP.

## Properties
- Total DFT energy (no corrections): -14.54 eV/f.u.
- SG: C2/m, No. 12
- Density of states at the Fermi level: 0.339 states/eV per atom
- Mass density: 10.04 g/cm³

Geometry as Quantum ESPRESSO input:
```
&SYSTEM
  ibrav = 0, nat = 14, ntyp = 3
/
ATOMIC_SPECIES
Tl 204.38 Tl.upf
Cd 112.41 Cd.upf
Hg 200.59 Hg.upf
CELL_PARAMETERS angstrom
4.8891 0.0000 1.2334
2.0161 8.3618 2.3149
0.3609 -0.5693 8.8763
ATOMIC_POSITIONS crystal
Tl 0.2754 0.2198 0.2293
Tl 0.7246 0.7802 0.7707
Tl 0.0000 0.5000 0.5000
Cd 0.3684 0.7664 0.4968
Cd 0.4953 0.1498 0.8597
Cd 0.8524 0.3632 0.9321
Cd 0.6316 0.2336 0.5032
Cd 0.1476 0.6368 0.0679
Cd 0.0000 0.0000 0.0000
Cd 0.5047 0.8502 0.1403
Hg 0.6315 0.4991 0.2379
Hg 0.3685 0.5009 0.7621
Hg 0.8569 0.9276 0.3586
Hg 0.1431 0.0724 0.6414
```

***

No. 8
Below is a relaxed PrCd12Pt6 crystal, with properties calculated at the PBE-GGA level. Values from VASP.

## Properties
- Total DFT energy (no corrections): -56.14 eV/f.u.
- SG: R-3m, No. 166
- Density of states at the Fermi level: 0.499 states/eV per atom
- Mass density: 10.73 g/cm³

Geometry as Quantum ESPRESSO input:
```
&SYSTEM
  ibrav = 0, nat = 19, ntyp = 3
/
ATOMIC_SPECIES
Pr 140.91 Pr.upf
Cd 112.41 Cd.upf
Pt 195.08 Pt.upf
CELL_PARAMETERS angstrom
7.8152 -0.0876 -0.1234
-2.0222 7.5496 -0.1234
-2.0222 -2.6047 7.0871
ATOMIC_POSITIONS crystal
Pr 0.0000 0.0000 0.0000
Cd 0.8852 0.1148 0.5000
Cd 0.8581 0.6058 0.6058
Cd 0.6058 0.6058 0.8581
Cd 0.3942 0.1419 0.3942
Cd 0.3942 0.3942 0.1419
Cd 0.1419 0.3942 0.3942
Cd 0.1148 0.5000 0.8852
Cd 0.5000 0.8852 0.1148
Cd 0.1148 0.8852 0.5000
Cd 0.8852 0.5000 0.1148
Cd 0.5000 0.1148 0.8852
Cd 0.6058 0.8581 0.6058
Pt 0.7039 0.2789 0.2789
Pt 0.2789 0.2789 0.7039
Pt 0.2789 0.7039 0.2789
Pt 0.7211 0.7211 0.2961
Pt 0.2961 0.7211 0.7211
Pt 0.7211 0.2961 0.7211
```

***

No. 9
Below is a relaxed La4TbPm2Sm2 crystal, with properties calculated at the PBE-GGA level. Values from VASP.

## Properties
- Total DFT energy (no corrections): -43.09 eV/f.u.
- SG: C2/m, No. 12
- Density of states at the Fermi level: 1.797 states/eV per atom
- Mass density: 6.84 g/cm³

Geometry as Quantum ESPRESSO input:
```
&SYSTEM
  ibrav = 0, nat = 9, ntyp = 4
/
ATOMIC_SPECIES
La 138.91 La.upf
Tb 158.93 Tb.upf
Pm 145.00 Pm.upf
Sm 150.36 Sm.upf
CELL_PARAMETERS angstrom
-0.6230 5.0749 1.0423
-6.7281 -2.7070 -3.9036
-0.8798 -1.7430 7.9611
ATOMIC_POSITIONS crystal
La 0.7772 0.5543 0.6684
La 0.2228 0.4457 0.3316
La 0.5545 0.1090 0.3309
La 0.4455 0.8910 0.6691
Tb 0.0000 0.0000 0.0000
Pm 0.8882 0.7764 0.3297
Pm 0.1118 0.2236 0.6703
Sm 0.3336 0.6672 0.9996
Sm 0.6664 0.3328 0.0004
```

***

No. 10
Below is a relaxed CsHBrF6 crystal, with properties calculated at the PBE-GGA level. Values from VASP.

## Properties
- Total DFT energy (no corrections): -30.96 eV/f.u.
- SG: P1, No. 1
- Mass density: 3.33 g/cm³

Geometry as Quantum ESPRESSO input:
```
&SYSTEM
  ibrav = 0, nat = 9, ntyp = 4
/
ATOMIC_SPECIES
Cs 132.91 Cs.upf
H 1.01 H.upf
Br 79.90 Br.upf
F 19.00 F.upf
CELL_PARAMETERS angstrom
-3.0641 -4.9884 1.1385
2.8887 -3.0456 2.5889
-1.7290 2.4834 5.0324
ATOMIC_POSITIONS crystal
Cs 0.8368 0.8930 0.0028
H 0.8388 0.3902 0.5236
Br 0.3260 0.3896 0.4922
F 0.9488 0.3544 0.3382
F 0.2901 0.2417 0.7807
F 0.7473 0.4199 0.6768
F 0.1330 0.7536 0.5710
F 0.3626 0.5340 0.2016
F 0.5163 0.0237 0.4129
```

***

No. 11
Below is a relaxed Ca4CdIn12 crystal, with properties calculated at the PBE-GGA level. Values from VASP.

## Properties
- Total DFT energy (no corrections): -46.42 eV/f.u.
- SG: Im-3m, No. 229
- Density of states at the Fermi level: 0.484 states/eV per atom
- Mass density: 5.95 g/cm³

Geometry as Quantum ESPRESSO input:
```
&SYSTEM
  ibrav = 0, nat = 17, ntyp = 3
/
ATOMIC_SPECIES
Ca 40.08 Ca.upf
Cd 112.41 Cd.upf
In 114.82 In.upf
CELL_PARAMETERS angstrom
-4.1379 -7.3364 -0.1666
6.2455 -0.4260 5.6379
-5.3129 6.1724 2.1557
ATOMIC_POSITIONS crystal
Ca 0.0000 0.0000 0.5000
Ca 0.5000 0.0000 0.0000
Ca 0.5000 0.5000 0.5000
Ca 0.0000 0.5000 0.0000
Cd 0.0000 0.0000 0.0000
In 0.0000 0.2988 0.2988
In 0.0000 0.7012 0.7012
In 0.7012 0.7012 0.0000
In 0.2988 0.2988 0.0000
In 0.2988 0.0000 0.2988
In 0.7012 0.0000 0.7012
In 0.5000 0.2500 0.7500
In 0.5000 0.7500 0.2500
In 0.7500 0.2500 0.5000
In 0.2500 0.7500 0.5000
In 0.7500 0.5000 0.2500
In 0.2500 0.5000 0.7500
```

***

No. 12
Below is a relaxed ZnMoRh2 crystal, with properties calculated at the PBE-GGA level. Values from VASP.

## Properties
- Total DFT energy (no corrections): -26.33 eV/f.u.
- SG: F-43m, No. 216
- Density of states at the Fermi level: 1.959 states/eV per atom
- Mass density: 10.39 g/cm³

Geometry as Quantum ESPRESSO input:
```
&SYSTEM
  ibrav = 0, nat = 4, ntyp = 3
/
ATOMIC_SPECIES
Mo 95.94 Mo.upf
Rh 102.91 Rh.upf
Zn 65.41 Zn.upf
CELL_PARAMETERS angstrom
-2.3978 2.1054 2.9730
-3.5772 -1.8772 1.6432
-0.0373 -1.3713 4.1399
ATOMIC_POSITIONS crystal
Mo 0.5000 0.5000 0.5000
Rh 0.0000 0.0000 0.0000
Rh 0.2500 0.2500 0.2500
Zn 0.7500 0.7500 0.7500
```

***

Per-record size of the total moment, μB/cell: 0.25 0.17 0.00 0.00 0.00 0.00 0.00 0.00 0.00 1.00 0.00 0.01